Entry from Alexandria via LeMat-Bulk: a geometry-optimized CsY2Si structure (PBE-GGA).

Structure (POSCAR):
```
CsY2Si
1.0
-2.2181 -6.9195 0.8275
5.5679 -2.2819 -4.1564
6.3455 -5.3035 4.9781
Y Cs Si
4 2 2
Cartesian
1.4490 -4.2108 1.0359
6.3022 -11.4600 1.8570
7.4033 -7.9970 1.4491
4.2361 -5.3419 -1.0435
0.0000 0.0000 0.0000
2.9012 -8.4118 2.0706
6.7941 -6.0930 -0.4214
1.6749 -4.6007 -1.6644
```

Its total DFT energy (no corrections) is -4.323 eV per atom. Its calculated density is 2.6 g/cm3.



Entry from Alexandria via LeMat-Bulk: a geometry-optimized CsYSi2 structure (PBE-GGA).

Structure (POSCAR):
```
CsYSi2
1.0
-4.9415 -1.1766 2.3104
1.7364 -5.1947 1.0683
1.7719 -0.2679 10.3927
Si Y Cs
4 2 2
Cartesian
0.5616 -3.8903 9.3289
-1.9102 -4.4756 10.4834
-1.1916 -1.1572 3.5974
-0.3263 -3.7552 4.1329
-1.6026 -3.1857 1.6893
0.9528 -4.3241 6.5751
-2.3861 -2.3151 7.1962
0.0000 0.0000 0.0000
```

Its total DFT energy (no corrections) is -4.191 eV per atom. Its calculated density is 3.0 g/cm3.



Entry from Alexandria via LeMat-Bulk: a geometry-optimized CsY3Si structure (PBE-GGA).

Structure (POSCAR):
```
CsY3Si
1.0
-2.8941 -2.1988 4.3493
-4.0647 -1.7017 -3.5650
2.6887 -4.9392 -0.7079
Y Cs Si
3 1 1
Cartesian
-1.4470 -1.0994 2.1746
-2.0323 -0.8509 -1.7825
1.3444 -2.4696 -0.3539
-2.1350 -4.4199 0.0382
0.0000 0.0000 0.0000
```

Its total DFT energy (no corrections) is -4.921 eV per atom. Its calculated density is 3.9 g/cm3.



Entry from Alexandria via LeMat-Bulk: a geometry-optimized Cs2YSi structure (PBE-GGA).

Structure (POSCAR):
```
Cs2YSi
1.0
0.0000 4.3381 4.3381
4.3381 0.0000 4.3381
4.3381 4.3381 0.0000
Cs Y Si
2 1 1
Cartesian
6.5071 6.5071 6.5071
2.1690 2.1690 2.1690
4.3381 4.3381 4.3381
0.0000 0.0000 0.0000
```

Its total DFT energy (no corrections) is -2.450 eV per atom. Its calculated density is 3.9 g/cm3.



Entry from Alexandria via LeMat-Bulk: a geometry-optimized CsY3Si structure (PBE-GGA).

Structure (POSCAR):
```
CsY3Si
1.0
5.5323 0.0000 0.0000
0.0000 5.5323 0.0000
0.0000 0.0000 5.5323
Cs Y Si
1 3 1
Cartesian
0.0000 0.0000 0.0000
2.7661 0.0000 0.0000
0.0000 0.0000 2.7661
0.0000 2.7661 0.0000
2.7661 2.7661 2.7661
```

Its total DFT energy (no corrections) is -3.594 eV per atom. Its calculated density is 4.2 g/cm3.



Entry from Alexandria via LeMat-Bulk: a geometry-optimized CsYSi3 structure (PBE-GGA).

Structure (POSCAR):
```
CsYSi3
1.0
-2.0787 -5.1111 0.2151
4.1510 -1.5495 3.2951
-2.9897 1.4022 4.4256
Si Cs Y
3 1 1
Cartesian
-1.4948 0.7011 2.2128
2.0755 -0.7748 1.6476
-1.0393 -2.5555 0.1076
-0.4586 -2.6292 3.9679
0.0000 0.0000 0.0000
```

Its total DFT energy (no corrections) is -4.084 eV per atom. Its calculated density is 3.0 g/cm3.



Entry from Alexandria via LeMat-Bulk: a geometry-optimized CsYSi3 structure (PBE-GGA).

Structure (POSCAR):
```
CsYSi3
1.0
5.3219 0.0000 0.0000
0.0000 5.3219 0.0000
0.0000 0.0000 5.3219
Si Y Cs
3 1 1
Cartesian
0.0000 0.0000 2.6609
0.0000 2.6609 0.0000
2.6609 0.0000 0.0000
2.6609 2.6609 2.6609
0.0000 0.0000 0.0000
```

Its total DFT energy (no corrections) is -2.969 eV per atom. Its calculated density is 3.4 g/cm3.



Entry from Alexandria via LeMat-Bulk: a geometry-optimized CsYSi2 structure (PBE-GGA).

Structure (POSCAR):
```
CsYSi2
1.0
4.8163 0.1124 2.4054
1.1050 3.8146 3.6365
0.4388 -1.2922 5.2090
Si Cs Y
2 1 1
Cartesian
1.5900 0.6587 2.8127
4.7701 1.9760 8.4381
3.1801 1.3174 5.6254
0.0000 0.0000 0.0000
```

Its total DFT energy (no corrections) is -4.030 eV per atom. Its calculated density is 4.2 g/cm3.



- The highest total DFT energy (no corrections) belongs to which entry?
  Cs2YSi



- Number 2 is which compound?
  CsYSi2



- Among the records above, which one has the lowest calculated density?
  CsY2Si